No. 1
A relaxed Ca3Ce2SmTe6 crystal. Source: the Alexandria database, functional GGA-PBE.

The structure in POSCAR format:
```
Ca3Ce2SmTe6
1.0
9.8648 -2.2283 0.0000
9.8648 2.2283 0.0000
-2.3132 0.0000 8.7757
Ca Ce Sm Te
3 2 1 6
Direct
0.0000 0.0000 0.0000
0.3333 0.3333 0.6662
0.6667 0.6667 0.3338
0.3330 0.3330 0.1663
0.6670 0.6670 0.8337
0.0000 0.0000 0.5000
0.1650 0.1650 0.0868
0.1665 0.1665 0.5790
0.4988 0.4988 0.7495
0.5012 0.5012 0.2505
0.8335 0.8335 0.4210
0.8350 0.8350 0.9132
```

## Properties
- formation energy without anion corrections (meV per atom) = -1473
- VASP energy (eV per atom) = -4.927
- SG = C2/m, No. 12

***

No. 2
A relaxed HoPaMnC3 crystal. Source: the Alexandria database, functional GGA-PBE.

The structure in POSCAR format:
```
HoPaMnC3
1.0
7.2392 0.0000 0.0000
0.0000 3.5025 0.0000
-0.3813 0.0000 7.2401
Ho Pa Mn C
2 2 2 6
Direct
0.1749 0.2500 0.1494
0.8251 0.7500 0.8506
0.1848 0.2500 0.6276
0.8152 0.7500 0.3724
0.4138 0.7500 0.9097
0.5862 0.2500 0.0903
0.1359 0.7500 0.4027
0.1618 0.7500 0.8742
0.4885 0.2500 0.8445
0.5115 0.7500 0.1555
0.8382 0.2500 0.1258
0.8641 0.2500 0.5973
```

## Properties
- VASP energy (eV per atom) = -8.655
- SG = P2_1/m, No. 11

***

No. 3
A relaxed KSbI2Br crystal. Source: the Alexandria database, functional GGA-PBE.

The structure in POSCAR format:
```
KSbI2Br
1.0
6.2745 0.0000 0.0000
0.0000 6.2745 0.0000
0.0000 0.0000 8.7823
K Sb I Br
1 1 2 1
Direct
0.0000 0.0000 0.0000
0.0000 0.0000 0.5000
0.0000 0.5000 0.0000
0.5000 0.0000 0.0000
0.5000 0.5000 0.5000
```

## Properties
- formation energy without anion corrections (meV per atom) = 348
- VASP energy (eV per atom) = -1.651
- SG = P4/mmm, No. 123

***

No. 4
A relaxed Ta6Tl7 crystal. Source: the Alexandria database, functional GGA-PBE.

The structure in POSCAR format:
```
Ta6Tl7
1.0
2.8625 1.6526 9.9021
-2.8625 1.6526 9.9021
0.0000 -3.3053 9.9021
Ta Tl
6 7
Direct
0.0432 0.0432 0.0432
0.1508 0.1508 0.1508
0.3358 0.3358 0.3358
0.6642 0.6642 0.6642
0.8492 0.8492 0.8492
0.9568 0.9568 0.9568
0.0777 0.5869 0.5869
0.4131 0.4131 0.9223
0.4131 0.9223 0.4131
0.5000 0.5000 0.5000
0.5869 0.0777 0.5869
0.5869 0.5869 0.0777
0.9223 0.4131 0.4131
```

## Properties
- VASP energy (eV per atom) = -5.738
- SG = R-3m, No. 166

***

No. 5
A relaxed Ca2Ac8Sm crystal. Source: the Alexandria database, functional GGA-PBE.

The structure in POSCAR format:
```
Ca2Ac8Sm
1.0
5.6043 -7.3369 0.0000
5.6043 7.3369 0.0000
0.0000 0.0000 5.9775
Ca Ac Sm
2 8 1
Direct
0.1175 0.8825 0.0000
0.8825 0.1175 0.0000
0.1746 0.1746 0.5000
0.2006 0.4652 0.0000
0.2509 0.7491 0.5000
0.4652 0.2006 0.0000
0.5348 0.7994 0.0000
0.7491 0.2509 0.5000
0.7994 0.5348 0.0000
0.8254 0.8254 0.5000
0.5000 0.5000 0.5000
```

## Properties
- VASP energy (eV per atom) = -3.621
- SG = Cmmm, No. 65

***

No. 6
A relaxed PmY2Sc3 crystal. Source: the Alexandria database, functional GGA-PBE.

The structure in POSCAR format:
```
PmY2Sc3
1.0
5.9955 0.0000 0.0000
0.0000 3.4649 0.0000
-1.9975 0.0000 16.5531
Pm Y Sc
2 4 6
Direct
0.0277 0.2500 0.3325
0.9723 0.7500 0.6675
0.2502 0.2500 0.0004
0.4727 0.2500 0.6667
0.5273 0.7500 0.3333
0.7498 0.7500 0.9996
0.1387 0.7500 0.1660
0.2506 0.7500 0.5001
0.3612 0.7500 0.8337
0.6388 0.2500 0.1663
0.7494 0.2500 0.4999
0.8613 0.2500 0.8340
```

## Properties
- VASP energy (eV per atom) = -6.035
- SG = P2_1/m, No. 11

***

No. 7
A relaxed MgRh2 crystal. Source: the Alexandria database, functional GGA-PBE.

The structure in POSCAR format:
```
MgRh2
1.0
-1.9446 1.9446 11.8969
1.9446 -1.9446 11.8969
1.9446 1.9446 -11.8969
Mg Rh
4 8
Direct
0.2956 0.5456 0.7500
0.4544 0.7044 0.7500
0.5456 0.2956 0.2500
0.7044 0.4544 0.2500
0.0409 0.7909 0.2500
0.1264 0.3764 0.7500
0.2091 0.9591 0.2500
0.3764 0.1264 0.2500
0.6236 0.8736 0.7500
0.7909 0.0409 0.7500
0.8736 0.6236 0.2500
0.9591 0.2091 0.7500
```

## Properties
- VASP energy (eV per atom) = -5.646
- SG = I4_1/amd, No. 141

***

No. 8
A relaxed LiTcTe4 crystal. Source: the Alexandria database, functional GGA-PBE.

The structure in POSCAR format:
```
LiTcTe4
1.0
0.0000 4.4985 4.4985
4.4985 0.0000 4.4985
4.4985 4.4985 0.0000
Li Tc Te
1 1 4
Direct
0.0000 0.0000 0.0000
0.2500 0.2500 0.2500
0.1260 0.6247 0.6247
0.6247 0.1260 0.6247
0.6247 0.6247 0.1260
0.6247 0.6247 0.6247
```

## Properties
- formation energy without anion corrections (meV per atom) = 822
- VASP energy (eV per atom) = -3.319
- SG = F-43m, No. 216

***

No. 9
A relaxed RbCaI2 crystal. Source: the Alexandria database, functional GGA-PBE.

The structure in POSCAR format:
```
RbCaI2
1.0
0.0000 4.2889 4.2889
4.2889 0.0000 4.2889
4.2889 4.2889 0.0000
Rb Ca I
1 1 2
Direct
0.0000 0.0000 0.0000
0.5000 0.5000 0.5000
0.2500 0.2500 0.2500
0.7500 0.7500 0.7500
```

## Properties
- formation energy without anion corrections (meV per atom) = -983
- VASP energy (eV per atom) = -2.501
- SG = Fm-3m, No. 225

***

No. 10
A relaxed Ta2Hg crystal. Source: the Alexandria database, functional GGA-PBE.

The structure in POSCAR format:
```
Ta2Hg
1.0
1.8338 -6.7586 0.0000
1.8338 6.7586 0.0000
0.0000 0.0000 4.5973
Ta Hg
4 2
Direct
0.0879 0.9121 0.7500
0.2539 0.7461 0.2500
0.7461 0.2539 0.7500
0.9121 0.0879 0.2500
0.4137 0.5863 0.7500
0.5863 0.4137 0.2500
```

## Properties
- VASP energy (eV per atom) = -7.677
- SG = Cmcm, No. 63

***

No. 11
A relaxed LiNbIr3 crystal. Source: the Alexandria database, functional GGA-PBE.

The structure in POSCAR format:
```
LiNbIr3
1.0
4.8040 0.0000 0.0000
0.0000 4.8040 0.0000
0.0000 0.0000 4.8040
Li Nb Ir
1 1 3
Direct
0.0000 0.0000 0.0000
0.5000 0.5000 0.5000
0.0000 0.5000 0.5000
0.5000 0.0000 0.5000
0.5000 0.5000 0.0000
```

## Properties
- VASP energy (eV per atom) = -6.486
- SG = Pm-3m, No. 221

***

No. 12
A relaxed YPa2Te6 crystal. Source: the Alexandria database, functional GGA-PBE.

The structure in POSCAR format:
```
YPa2Te6
1.0
7.2938 0.0000 0.0000
0.0000 7.2938 0.0000
0.0000 0.0000 13.2630
Y Pa Te
2 4 12
Direct
0.0000 0.0000 0.0000
0.5000 0.5000 0.5000
0.0000 0.0000 0.3335
0.0000 0.0000 0.6665
0.5000 0.5000 0.1665
0.5000 0.5000 0.8335
0.1992 0.1992 0.5000
0.2031 0.2031 0.1694
0.2031 0.2031 0.8306
0.2969 0.7031 0.3306
0.2969 0.7031 0.6694
0.3008 0.6992 0.0000
0.6992 0.3008 0.0000
0.7031 0.2969 0.3306
0.7031 0.2969 0.6694
0.7969 0.7969 0.1694
0.7969 0.7969 0.8306
0.8008 0.8008 0.5000
```

## Properties
- formation energy without anion corrections (meV per atom) = -858
- VASP energy (eV per atom) = -5.781
- SG = P4_2/mnm, No. 136